[1]
# CaTc2Pb, optimized geometry, DFT PBE
# DFT total energy = -6.08 eV per atom
# V = 19.1 A^3/atom
# DFT formation energy = 0.53 eV per atom
data_CaTc2Pb
_chemical_formula_sum 'Ca1 Tc2 Pb1'
_cell_length_a 4.761
_cell_length_b 4.761
_cell_length_c 4.761
_cell_angle_alpha 60.00
_cell_angle_beta 60.00
_cell_angle_gamma 60.00
_symmetry_space_group_name_H-M 'P 1'
_symmetry_Int_Tables_number 1
loop_
_symmetry_equiv_pos_as_xyz
'x,y,z'
loop_
_atom_site_label
_atom_site_type_symbol
_atom_site_fract_x
_atom_site_fract_y
_atom_site_fract_z
Pb1 Pb 0.750 0.750 0.750
Ca1 Ca 0.500 0.500 0.500
Tc1 Tc 0.000 0.000 0.000
Tc2 Tc 0.250 0.250 0.250

***

[2]
# In4HgBr4, optimized geometry, DFT PBE
# DFT total energy = -2.56 eV per atom
# Uncorrected formation energy = -0.563 eV/atom
# V = 38.7 A^3/atom
data_In4HgBr4
_chemical_formula_sum 'In4 Hg1 Br4'
_cell_length_a 6.535
_cell_length_b 8.015
_cell_length_c 7.989
_cell_angle_alpha 80.03
_cell_angle_beta 65.86
_cell_angle_gamma 65.94
_symmetry_space_group_name_H-M 'P 1'
_symmetry_Int_Tables_number 1
loop_
_symmetry_equiv_pos_as_xyz
'x,y,z'
loop_
_atom_site_label
_atom_site_type_symbol
_atom_site_fract_x
_atom_site_fract_y
_atom_site_fract_z
In1 In 0.895 0.405 0.805
In2 In 0.105 0.595 0.195
In3 In 0.301 0.802 0.595
In4 In 0.699 0.198 0.405
Hg1 Hg 0.000 0.000 0.000
Br1 Br 0.588 0.602 0.222
Br2 Br 0.412 0.398 0.778
Br3 Br 0.186 0.223 0.405
Br4 Br 0.814 0.777 0.595

***

[3]
# TeBrCl2, optimized geometry, DFT PBE
# DFT total energy = -2.06 eV per atom
# Polymorph energy (0 for the lowest one) = 470.1 meV/atom
# Uncorrected formation energy = 0.067 eV/atom
# V = 36.0 A^3/atom
data_TeBrCl2
_chemical_formula_sum 'Te1 Br1 Cl2'
_cell_length_a 4.102
_cell_length_b 4.102
_cell_length_c 8.552
_cell_angle_alpha 90.00
_cell_angle_beta 90.00
_cell_angle_gamma 90.00
_symmetry_space_group_name_H-M 'P 1'
_symmetry_Int_Tables_number 1
loop_
_symmetry_equiv_pos_as_xyz
'x,y,z'
loop_
_atom_site_label
_atom_site_type_symbol
_atom_site_fract_x
_atom_site_fract_y
_atom_site_fract_z
Te1 Te 0.000 0.000 0.338
Br1 Br 0.500 0.500 0.756
Cl1 Cl 0.000 0.000 0.069
Cl2 Cl 0.500 0.500 0.337

***

[4]
# NdHo5Cd6, optimized geometry, DFT PBE
# DFT total energy = -3.08 eV per atom
# V = 26.4 A^3/atom
# DFT formation energy = -0.31 eV per atom
data_NdHo5Cd6
_chemical_formula_sum 'Nd1 Ho5 Cd6'
_cell_length_a 5.279
_cell_length_b 7.546
_cell_length_c 8.373
_cell_angle_alpha 90.00
_cell_angle_beta 71.62
_cell_angle_gamma 90.00
_symmetry_space_group_name_H-M 'P 1'
_symmetry_Int_Tables_number 1
loop_
_symmetry_equiv_pos_as_xyz
'x,y,z'
loop_
_atom_site_label
_atom_site_type_symbol
_atom_site_fract_x
_atom_site_fract_y
_atom_site_fract_z
Nd1 Nd 0.000 0.000 0.000
Ho1 Ho 0.664 0.500 0.671
Ho2 Ho 0.332 0.000 0.336
Ho3 Ho 0.000 0.500 0.000
Ho4 Ho 0.668 0.000 0.664
Ho5 Ho 0.336 0.500 0.329
Cd1 Cd 0.830 0.744 0.339
Cd2 Cd 0.830 0.256 0.339
Cd3 Cd 0.500 0.256 0.000
Cd4 Cd 0.500 0.744 0.000
Cd5 Cd 0.170 0.744 0.661
Cd6 Cd 0.170 0.256 0.661